Entry 1:
Material: CaTiHgH2
Method: DFT, PBE
State: optimized geometry

```
5
Lattice="4.169 0.000 0.000 0.000 4.169 0.000 0.000 0.000 6.033" Properties=species:S:1:pos:R:3 pbc="T T T"
Ca 0.000 0.000 0.000
Ti 2.084 2.084 0.000
Hg 0.000 0.000 3.017
H 0.000 2.084 3.017
H 2.084 0.000 3.017
```

Summary:
SG: No. 123
Electronic total energy, eV/atom: -2.347
Volume, Å³/cell: 105
N(E_F), states/eV/atom: 1.167

Entry 2:
Material: Ca2TlHgH
Method: DFT, PBE
State: optimized geometry

```
5
Lattice="5.098 0.000 0.000 0.000 5.098 0.000 0.000 0.000 4.455" Properties=species:S:1:pos:R:3 pbc="T T T"
Ca 0.000 2.549 0.000
Ca 2.549 0.000 0.000
Tl 0.000 0.000 2.227
Hg 2.549 2.549 2.227
H 0.000 0.000 0.000
```

Summary:
Offset from the most stable computed form, eV per atom: 0.025
SG: No. 123
Electronic total energy, eV/atom: -2.319
Volume, Å³/cell: 116
N(E_F), states/eV/atom: 0.522

Entry 3:
Material: CaTlHg2H
Method: DFT, PBE
State: optimized geometry

```
5
Lattice="5.311 0.000 0.000 0.000 5.311 0.000 0.000 0.000 4.141" Properties=species:S:1:pos:R:3 pbc="T T T"
Ca 0.000 0.000 0.000
Tl 2.655 2.655 0.000
Hg 0.000 2.655 2.071
Hg 2.655 0.000 2.071
H 0.000 0.000 2.071
```

Summary:
SG: No. 123
Electronic total energy, eV/atom: -1.839
Volume, Å³/cell: 117
N(E_F), states/eV/atom: 0.254

Entry 4:
Material: Ca2TlHgH
Method: DFT, PBE
State: optimized geometry

```
5
Lattice="5.152 0.000 0.000 0.000 5.152 0.000 0.000 0.000 4.261" Properties=species:S:1:pos:R:3 pbc="T T T"
Ca 0.000 2.576 0.000
Ca 2.576 0.000 0.000
Tl 0.000 0.000 2.131
Hg 2.576 2.576 2.131
H 2.576 2.576 0.000
```

Summary:
Offset from the most stable computed form, eV per atom: 0.000
SG: No. 123
Electronic total energy, eV/atom: -2.344
Volume, Å³/cell: 113
N(E_F), states/eV/atom: 0.536

Entry 5:
Material: CaV2HgH
Method: DFT, PBE
State: optimized geometry

```
5
Lattice="5.450 0.000 0.000 0.000 5.450 0.000 0.000 0.000 3.744" Properties=species:S:1:pos:R:3 pbc="T T T"
Ca 0.000 0.000 0.000
V 0.000 2.725 1.872
V 2.725 0.000 1.872
Hg 2.725 2.725 1.872
H 2.725 2.725 0.000
```

Summary:
SG: No. 123
Electronic total energy, eV/atom: -3.695
Volume, Å³/cell: 111
N(E_F), states/eV/atom: 1.169

Entry 6:
Material: Ca2YHgH
Method: DFT, PBE
State: optimized geometry

```
5
Lattice="4.880 0.000 0.000 0.000 4.880 0.000 0.000 0.000 4.974" Properties=species:S:1:pos:R:3 pbc="T T T"
Ca 0.000 2.440 0.000
Ca 2.440 0.000 0.000
Y 0.000 0.000 2.487
Hg 2.440 2.440 2.487
H 0.000 0.000 0.000
```

Summary:
SG: No. 123
Electronic total energy, eV/atom: -3.087
Volume, Å³/cell: 118
N(E_F), states/eV/atom: 0.845

Entry 7:
Material: CaY2HgH
Method: DFT, PBE
State: optimized geometry

```
5
Lattice="4.825 0.000 0.000 0.000 4.825 0.000 0.000 0.000 4.970" Properties=species:S:1:pos:R:3 pbc="T T T"
Ca 0.000 0.000 0.000
Y 0.000 2.412 2.485
Y 2.412 0.000 2.485
Hg 2.412 2.412 0.000
H 0.000 0.000 2.485
```

Summary:
SG: No. 123
Electronic total energy, eV/atom: -3.971
Volume, Å³/cell: 116
N(E_F), states/eV/atom: 1.050

Entry 8:
Material: Ca5Ho3H12
Method: DFT, PBE
State: optimized geometry

```
80
Lattice="-6.596 6.596 6.596 6.596 -6.596 6.596 6.596 6.596 -6.596" Properties=species:S:1:pos:R:3 pbc="T T T"
Ca 0.000 0.000 0.000
Ca 3.298 3.298 -3.298
Ca 3.298 -3.298 3.298
Ca 6.596 0.000 0.000
Ca 9.895 1.649 0.000
Ca 6.596 -3.298 4.947
Ca 4.947 6.596 -3.298
Ca 4.947 0.000 3.298
Ca 3.298 4.947 0.000
Ca 6.596 3.298 1.649
Ca -3.298 3.298 3.298
Ca 0.000 6.596 0.000
Ca 0.000 0.000 6.596
Ca 3.298 3.298 3.298
Ca 0.000 3.298 4.947
Ca 3.298 1.649 6.596
Ca 1.649 6.596 3.298
Ca 1.649 0.000 9.895
Ca 0.000 9.895 1.649
Ca -3.298 4.947 6.596
Ho 3.298 1.649 0.000
Ho 6.596 3.298 -1.649
Ho 1.649 0.000 3.298
Ho 8.245 0.000 3.298
Ho 0.000 3.298 1.649
Ho 3.298 -1.649 6.596
Ho 3.298 8.245 0.000
Ho 6.596 3.298 4.947
Ho -1.649 6.596 3.298
Ho 4.947 6.596 3.298
Ho 0.000 3.298 8.245
Ho 3.298 4.947 6.596
H 2.077 -0.042 0.937
H 7.818 4.235 -3.340
H 8.673 0.042 0.937
H 7.818 -2.361 3.340
H 6.555 -0.937 2.077
H 9.936 -1.221 2.361
H 0.937 2.077 -0.042
H 8.957 3.257 -1.221
H 4.235 3.340 -1.221
H 5.659 2.077 0.042
H -0.042 0.937 2.077
H 3.340 -1.221 4.235
H 6.555 5.659 -2.077
H 3.340 1.221 2.361
H 4.235 -3.340 7.818
H 5.659 -2.077 6.555
H 2.361 3.340 1.221
H 7.533 4.519 0.042
H 3.340 7.818 -2.361
H 6.555 0.937 4.519
H 2.077 6.555 -0.937
H 7.818 2.361 3.257
H 1.221 2.361 3.340
H 2.077 0.042 5.659
H 4.519 6.555 0.937
H 5.375 4.235 3.257
H -1.221 4.235 3.340
H 4.519 0.042 7.533
H 0.042 5.659 2.077
H 3.257 -1.221 8.957
H -0.937 2.077 6.555
H 4.235 3.257 5.375
H 0.937 8.673 0.042
H 2.361 9.936 -1.221
H 3.257 5.375 4.235
H 0.042 0.937 8.673
H 3.257 7.818 2.361
H 6.638 5.659 4.519
H 0.937 4.519 6.555
H 2.361 3.257 7.818
H -2.361 3.340 7.818
H 5.659 4.519 6.638
H -3.340 7.818 4.235
H 0.042 7.533 4.519
H -1.221 8.957 3.257
H -2.077 6.555 5.659
H -1.221 2.361 9.936
H 4.519 6.638 5.659
```

Summary:
SG: No. 230
Electronic total energy, eV/atom: -3.578
Volume, Å³/cell: 1148
N(E_F), states/eV/atom: 0.489

Entry 9:
Material: Ca3HoH
Method: DFT, PBE
State: optimized geometry

```
5
Lattice="5.263 0.000 0.000 0.000 5.263 0.000 0.000 0.000 5.263" Properties=species:S:1:pos:R:3 pbc="T T T"
Ca 0.000 0.000 2.632
Ca 0.000 2.632 0.000
Ca 2.632 0.000 0.000
Ho 2.632 2.632 2.632
H 0.000 0.000 0.000
```

Summary:
SG: No. 221
Electronic total energy, eV/atom: -2.782
Volume, Å³/cell: 146
N(E_F), states/eV/atom: 1.246

Entry 10:
Material: CaHo3H
Method: DFT, PBE
State: optimized geometry

```
5
Lattice="5.028 0.000 0.000 0.000 5.028 0.000 0.000 0.000 5.028" Properties=species:S:1:pos:R:3 pbc="T T T"
Ca 0.000 0.000 0.000
Ho 0.000 2.514 2.514
Ho 2.514 0.000 2.514
Ho 2.514 2.514 0.000
H 2.514 2.514 2.514
```

Summary:
SG: No. 221
Electronic total energy, eV/atom: -3.876
Volume, Å³/cell: 127
N(E_F), states/eV/atom: 1.271

Entry 11:
Material: Ca2Ho4H
Method: DFT, PBE
State: optimized geometry

```
7
Lattice="-2.466 2.466 8.752 2.466 -2.466 8.752 2.466 2.466 -8.752" Properties=species:S:1:pos:R:3 pbc="T T T"
Ca 0.000 0.000 2.816
Ca 0.000 0.000 14.688
Ho 2.466 0.000 0.000
Ho 0.000 0.000 6.394
Ho 0.000 2.466 0.000
Ho 0.000 0.000 11.110
H 0.000 0.000 8.752
```

Summary:
SG: No. 139
Electronic total energy, eV/atom: -3.548
Volume, Å³/cell: 213
N(E_F), states/eV/atom: 1.155

Entry 12:
Material: CaHoH
Method: DFT, PBE
State: optimized geometry

```
6
Lattice="3.681 0.000 0.000 0.005 5.367 0.000 0.014 0.133 7.447" Properties=species:S:1:pos:R:3 pbc="T T T"
Ca 0.922 1.422 2.707
Ca 2.778 4.078 4.740
Ho 0.938 1.527 6.624
Ho 2.762 3.973 0.823
H 0.921 2.779 0.837
H 2.778 2.721 6.610
```

Summary:
Offset from the most stable computed form, eV per atom: 0.000
SG: No. 2
Electronic total energy, eV/atom: -3.568
Volume, Å³/cell: 147
N(E_F), states/eV/atom: 0.755

Entry 13:
Material: Ca2HoH4
Method: DFT, PBE
State: optimized geometry

```
7
Lattice="-2.095 2.095 6.260 2.095 -2.095 6.260 2.095 2.095 -6.260" Properties=species:S:1:pos:R:3 pbc="T T T"
Ca 0.000 0.000 1.845
Ca 0.000 0.000 10.676
Ho 0.000 0.000 6.260
H 2.095 0.000 0.000
H 0.000 0.000 4.085
H 0.000 2.095 0.000
H 0.000 0.000 8.435
```

Summary:
SG: No. 139
Electronic total energy, eV/atom: -3.448
Volume, Å³/cell: 110
N(E_F), states/eV/atom: 0.446

Entry 14:
Material: Ca2HoH6
Method: DFT, PBE
State: optimized geometry

```
9
Lattice="0.000 3.954 3.954 3.954 0.000 3.954 3.954 3.954 0.000" Properties=species:S:1:pos:R:3 pbc="T T T"
Ca 1.977 1.977 1.977
Ca 5.931 5.931 5.931
Ho 0.000 0.000 0.000
H 3.954 3.954 2.107
H 3.954 2.107 3.954
H 5.801 3.954 3.954
H 2.107 3.954 3.954
H 3.954 5.801 3.954
H 3.954 3.954 5.801
```

Summary:
SG: No. 225
Electronic total energy, eV/atom: -3.355
Volume, Å³/cell: 124
N(E_F), states/eV/atom: 0.279

Entry 15:
Material: CaHoH
Method: DFT, PBE
State: optimized geometry

```
3
Lattice="3.634 0.000 0.000 -1.817 3.147 0.000 0.000 0.000 5.878" Properties=species:S:1:pos:R:3 pbc="T T T"
Ca 0.000 0.000 0.000
Ho 0.000 2.098 2.873
H 1.817 1.049 1.650
```

Summary:
Offset from the most stable computed form, eV per atom: 0.116
SG: No. 156
Electronic total energy, eV/atom: -3.452
Volume, Å³/cell: 67
N(E_F), states/eV/atom: 0.977

Entry 16:
Material: CaHoH4
Method: DFT, PBE
State: optimized geometry

```
6
Lattice="3.694 0.000 0.000 0.000 3.694 0.000 0.000 0.000 5.310" Properties=species:S:1:pos:R:3 pbc="T T T"
Ca 0.000 0.000 0.000
Ho 1.847 1.847 2.655
H 0.000 1.847 1.393
H 0.000 1.847 3.917
H 1.847 0.000 1.393
H 1.847 0.000 3.917
```

Summary:
SG: No. 123
Electronic total energy, eV/atom: -3.948
Volume, Å³/cell: 72
N(E_F), states/eV/atom: 0.292

Entry 17:
Material: CaHoNi2H8
Method: DFT, PBE
State: optimized geometry

```
12
Lattice="2.044 1.180 8.083 -2.044 1.180 8.083 0.000 -2.360 8.083" Properties=species:S:1:pos:R:3 pbc="T T T"
Ca 0.000 0.000 0.000
Ho 0.000 0.000 12.125
Ni 0.000 0.000 5.964
Ni 0.000 0.000 18.286
H 0.000 -1.302 5.164
H -1.128 0.651 5.164
H 0.000 0.000 7.549
H -1.128 -0.651 19.086
H 1.128 0.651 5.164
H 0.000 0.000 16.701
H 1.128 -0.651 19.086
H 0.000 1.302 19.086
```

Summary:
SG: No. 166
Electronic total energy, eV/atom: -3.927
Volume, Å³/cell: 117
N(E_F), states/eV/atom: 0.391

Entry 18:
Material: CaHoH8Rh2
Method: DFT, PBE
State: optimized geometry

```
12
Lattice="2.018 1.165 8.925 -2.018 1.165 8.925 0.000 -2.330 8.925" Properties=species:S:1:pos:R:3 pbc="T T T"
Ca 0.000 0.000 0.000
Ho 0.000 0.000 13.388
H 0.000 -1.330 5.630
H -1.152 0.665 5.630
H 0.000 0.000 8.297
H -1.152 -0.665 21.146
H 1.152 0.665 5.630
H 0.000 0.000 18.479
H 1.152 -0.665 21.146
H 0.000 1.330 21.146
Rh 0.000 0.000 6.532
Rh 0.000 0.000 20.244
```

Summary:
SG: No. 166
Electronic total energy, eV/atom: -4.234
Volume, Å³/cell: 126
N(E_F), states/eV/atom: 0.167

Entry 19:
Material: CaH2I
Method: DFT, PBE
State: optimized geometry

```
4
Lattice="0.000 3.252 3.252 3.252 0.000 3.252 3.252 3.252 0.000" Properties=species:S:1:pos:R:3 pbc="T T T"
Ca 0.000 0.000 0.000
H 1.626 1.626 1.626
H 4.878 4.878 4.878
I 3.252 3.252 3.252
```

Summary:
Offset from the most stable computed form, eV per atom: 0.127
SG: No. 225
Electronic total energy, eV/atom: -2.607
Volume, Å³/cell: 69
N(E_F), states/eV/atom: 0.658

Entry 20:
Material: Ca2H2I3
Method: DFT, PBE
State: optimized geometry

```
7
Lattice="3.590 -2.100 0.000 3.590 2.100 0.000 -1.522 0.000 12.350" Properties=species:S:1:pos:R:3 pbc="T T T"
Ca 1.209 0.000 2.381
Ca 4.448 0.000 9.969
H -0.316 0.000 10.066
H 5.973 0.000 2.285
I 2.034 0.000 7.965
I 3.590 0.000 0.000
I 3.623 0.000 4.385
```

Summary:
SG: No. 12
Electronic total energy, eV/atom: -3.013
Volume, Å³/cell: 186
N(E_F), states/eV/atom: 0.606